[1]
UGeIr2 after structural relaxation. Source: the Alexandria database, functional PBE.

Cell and atoms, written as extended XYZ:
```
4
Lattice="3.094 0.000 0.000 0.000 3.094 0.000 0.000 0.000 7.094" Properties=species:S:1:pos:R:3 pbc="T T T"
U 0.000 0.000 0.000
Ge 0.000 0.000 3.547
Ir 1.547 1.547 1.963
Ir 1.547 1.547 5.130
```

Properties
* energy above the most stable polymorph in this dataset: 0.148 eV per atom
* electronic total energy: -8.67 eV per atom
* M_tot: 0.01 μB/f.u.
* ΔE_f: -1.04 eV per formula unit

***

[2]
LiSc4Pb5 after structural relaxation. Source: the Alexandria database, functional PBE.

Cell and atoms, written as extended XYZ:
```
10
Lattice="-4.636 4.636 3.023 4.636 -4.636 3.023 4.636 4.636 -3.023" Properties=species:S:1:pos:R:3 pbc="T T T"
Li 0.000 0.000 0.000
Sc 5.450 -1.738 1.200
Sc 3.821 1.738 1.200
Sc -1.738 3.821 1.200
Sc 1.738 5.450 1.200
Pb 2.524 -0.943 1.186
Pb 6.747 0.943 1.186
Pb 0.943 2.524 1.186
Pb 0.000 0.000 3.206
Pb -0.943 6.747 1.186
```

Properties
* electronic total energy: -4.72 eV per atom
* M_tot: 0.00 μB/f.u.
* ΔE_f: -1.45 eV per formula unit

***

[3]
Mn8Se after structural relaxation. Source: the Alexandria database, functional PBE.

Cell and atoms, written as extended XYZ:
```
9
Lattice="-3.788 3.788 1.773 3.788 -3.788 1.773 3.788 3.788 -1.773" Properties=species:S:1:pos:R:3 pbc="T T T"
Mn 2.615 0.000 0.000
Mn 4.960 0.000 0.000
Mn 2.427 2.427 0.000
Mn 1.361 -1.361 1.773
Mn 0.000 2.615 0.000
Mn 0.000 4.960 0.000
Mn -1.361 1.361 1.773
Mn 1.361 1.361 1.773
Se 0.000 0.000 0.000
```

Properties
* electronic total energy: -8.43 eV per atom
* M_tot: 0.97 μB/f.u.
* formation energy (no corrections): 0.110 eV/atom

***

[4]
RbLiH2 after structural relaxation. Source: the Alexandria database, functional PBE.

Cell and atoms, written as extended XYZ:
```
16
Lattice="4.976 0.000 0.000 0.000 3.557 0.000 0.000 0.000 14.899" Properties=species:S:1:pos:R:3 pbc="T T T"
Rb 0.713 0.889 2.406
Rb 1.775 2.668 9.855
Rb 3.202 0.889 5.044
Rb 4.263 2.668 12.493
Li 0.702 2.668 6.700
Li 1.786 0.889 14.150
Li 3.190 2.668 0.749
Li 4.275 0.889 8.199
H 0.783 2.668 4.861
H 1.082 0.889 7.491
H 1.406 2.668 0.041
H 1.705 0.889 12.311
H 3.272 2.668 2.588
H 3.570 0.889 14.858
H 3.894 2.668 7.408
H 4.193 0.889 10.037
```

Properties
* energy above the most stable polymorph in this dataset: 0.003 eV per atom
* electronic total energy: -2.64 eV per atom
* M_tot: 0.00 μB/f.u.

***

[5]
KBe2Ru after structural relaxation. Source: the Alexandria database, functional PBE.

Cell and atoms, written as extended XYZ:
```
4
Lattice="3.017 0.000 0.000 0.000 3.021 0.000 -0.019 0.000 7.176" Properties=species:S:1:pos:R:3 pbc="T T T"
K 0.000 0.000 0.000
Be 1.500 1.510 2.584
Be 1.498 1.510 4.592
Ru -0.010 0.000 3.588
```

Properties
* energy above the most stable polymorph in this dataset: 0.010 eV per atom
* electronic total energy: -4.22 eV per atom
* M_tot: 0.00 μB/f.u.
* ΔE_f: 0.93 eV per formula unit

***

[6]
AcTbBiBr after structural relaxation. Source: the Alexandria database, functional PBE.

Cell and atoms, written as extended XYZ:
```
4
Lattice="0.000 3.939 3.939 3.939 0.000 3.939 3.939 3.939 0.000" Properties=species:S:1:pos:R:3 pbc="T T T"
Ac 0.000 0.000 0.000
Tb 3.939 3.939 3.939
Bi 1.970 1.970 1.970
Br 5.909 5.909 5.909
```

Properties
* electronic total energy: -4.49 eV per atom
* M_tot: 0.00 μB/f.u.
* formation energy (no corrections): -0.915 eV/atom

***

[7]
TmTh2Al12Co3 after structural relaxation. Source: the Alexandria database, functional PBE.

Cell and atoms, written as extended XYZ:
```
18
Lattice="4.208 2.429 6.187 -4.208 2.429 6.187 0.000 -4.859 6.187" Properties=species:S:1:pos:R:3 pbc="T T T"
Tm 0.000 0.000 0.000
Th 0.000 0.000 7.773
Th 0.000 0.000 10.788
Al -2.599 -1.500 9.577
Al 0.000 -1.794 5.291
Al -1.554 0.897 5.291
Al 0.000 -3.001 8.983
Al -2.599 1.500 8.983
Al -1.554 -0.897 13.270
Al 1.554 0.897 5.291
Al 2.599 -1.500 9.577
Al 0.000 3.001 9.577
Al 1.554 -0.897 13.270
Al 0.000 1.794 13.270
Al 2.599 1.500 8.983
Co -4.208 0.000 9.280
Co -2.104 1.215 3.093
Co 2.104 1.215 3.093
```

Properties
* electronic total energy: -4.69 eV per atom
* M_tot: 0.00 μB/f.u.
* ΔE_f: 1.07 eV per formula unit

***

[8]
CsPa4Se8 after structural relaxation. Source: the Alexandria database, functional PBE.

Cell and atoms, written as extended XYZ:
```
13
Lattice="0.000 6.208 6.208 6.208 0.000 6.208 6.208 6.208 0.000" Properties=species:S:1:pos:R:3 pbc="T T T"
Cs 0.000 0.000 0.000
Pa 7.728 4.688 4.688
Pa 4.688 7.728 4.688
Pa 4.688 4.688 7.728
Pa 7.728 7.728 7.728
Se 4.844 4.844 4.844
Se 7.573 7.573 4.844
Se 7.573 4.844 7.573
Se 10.578 8.046 8.046
Se 4.844 7.573 7.573
Se 8.046 10.578 8.046
Se 8.046 8.046 10.578
Se 10.578 10.578 10.578
```

Properties
* energy above the most stable polymorph in this dataset: 0.069 eV per atom
* electronic total energy: -6.38 eV per atom
* M_tot: 5.01 μB/f.u.
* formation energy (no corrections): -1.246 eV/atom

***

[9]
ReRu3 after structural relaxation. Source: the Alexandria database, functional PBE.

Cell and atoms, written as extended XYZ:
```
8
Lattice="4.338 0.000 0.000 0.000 5.492 0.000 0.000 0.000 4.737" Properties=species:S:1:pos:R:3 pbc="T T T"
Re 1.084 1.373 0.792
Re 3.253 4.119 3.944
Ru 1.084 5.491 3.169
Ru 1.084 2.747 3.169
Ru 1.084 4.119 0.783
Ru 3.253 0.001 1.567
Ru 3.253 1.373 3.954
Ru 3.253 2.745 1.567
```

Properties
* energy above the most stable polymorph in this dataset: 0.015 eV per atom
* electronic total energy: -10.14 eV per atom
* M_tot: 0.00 μB/f.u.
* ΔE_f: -0.29 eV per formula unit

***

[10]
TcSe after structural relaxation. Source: the Alexandria database, functional PBE.

Cell and atoms, written as extended XYZ:
```
4
Lattice="1.510 -7.033 0.000 1.510 7.033 0.000 0.000 0.000 3.871" Properties=species:S:1:pos:R:3 pbc="T T T"
Tc 1.510 4.124 2.904
Tc 1.510 -4.124 0.968
Se 1.510 1.731 2.904
Se 1.510 -1.731 0.968
```

Properties
* energy above the most stable polymorph in this dataset: 0.203 eV per atom
* electronic total energy: -6.93 eV per atom
* M_tot: 0.00 μB/f.u.
* formation energy (no corrections): -0.003 eV/atom

***

[11]
TbPd6Au8 after structural relaxation. Source: the Alexandria database, functional PBE.

Cell and atoms, written as extended XYZ:
```
15
Lattice="3.928 2.268 5.472 -3.928 2.268 5.472 0.000 -4.536 5.472" Properties=species:S:1:pos:R:3 pbc="T T T"
Tb 0.000 0.000 0.000
Pd -2.528 -0.027 6.289
Pd -1.241 -2.203 10.126
Pd 1.287 -2.176 6.289
Pd -1.287 2.176 10.126
Pd 1.241 2.203 6.289
Pd 2.528 0.027 10.126
Au -1.300 -2.362 7.428
Au -2.695 -0.056 8.987
Au 0.000 0.000 5.281
Au -1.396 2.306 7.428
Au 1.396 -2.306 8.987
Au 0.000 0.000 11.134
Au 2.695 0.056 7.428
Au 1.300 2.362 8.987
```

Properties
* energy above the most stable polymorph in this dataset: 0.013 eV per atom
* electronic total energy: -4.28 eV per atom
* M_tot: 0.00 μB/f.u.
* ΔE_f: -2.22 eV per formula unit

***

[12]
PmYSn2 after structural relaxation. Source: the Alexandria database, functional PBE.

Cell and atoms, written as extended XYZ:
```
4
Lattice="4.345 0.000 0.000 0.000 2.283 5.781 0.000 -2.283 5.781" Properties=species:S:1:pos:R:3 pbc="T T T"
Pm 0.000 0.000 0.000
Y 2.173 0.000 8.444
Sn 0.000 0.000 3.157
Sn 2.173 0.000 5.280
```

Properties
* electronic total energy: -5.58 eV per atom
* M_tot: 0.00 μB/f.u.
* ΔE_f: -3.09 eV per formula unit